! HoTm2GaAu4 | the Alexandria database | PBE | optimized geometry; values from VASP
&SYSTEM
  ibrav = 0, nat = 8, ntyp = 4
/
ATOMIC_SPECIES
Ho 164.93 Ho.upf
Tm 168.93 Tm.upf
Ga 69.72 Ga.upf
Au 196.97 Au.upf
ATOMIC_POSITIONS crystal
Ho 0.0000 0.0000 0.0000
Tm 0.2415 0.2415 0.2415
Tm 0.7585 0.7585 0.7585
Ga 0.5000 0.5000 0.5000
Au 0.1202 0.1202 0.1202
Au 0.3682 0.3682 0.3682
Au 0.6318 0.6318 0.6318
Au 0.8798 0.8798 0.8798
CELL_PARAMETERS angstrom
2.4647 1.4230 8.1928
-2.4647 1.4230 8.1928
0.0000 -2.8460 8.1928
! M_tot, μB/cell: 0.000
! V, Å³/atom: 21.550
! Formation energy from the elements, eV per atom: -0.770
! Final energy, eV/atom: -4.477
! D(E_F), states/eV/atom: 0.5913